1.
{
  "formula": "YCu2Ag",
  "functional": "PBE",
  "state": "relaxed",
  "lattice": [[4.289, 0.000, 0.000], [0.000, 4.289, 0.000], [0.000, 0.000, 18.222]],
  "species": ["Y", "Y", "Y", "Y", "Cu", "Cu", "Cu", "Cu", "Cu", "Cu", "Cu", "Cu", "Ag", "Ag", "Ag", "Ag"],
  "frac_coords": [[0.000, 0.000, 0.000], [0.000, 0.500, 0.250], [0.500, 0.000, 0.750], [0.500, 0.500, 0.500], [0.122, 0.250, 0.625], [0.250, 0.622, 0.875], [0.250, 0.878, 0.375], [0.378, 0.250, 0.125], [0.622, 0.750, 0.125], [0.750, 0.122, 0.375], [0.750, 0.378, 0.875], [0.878, 0.750, 0.625], [0.000, 0.000, 0.500], [0.000, 0.500, 0.750], [0.500, 0.000, 0.250], [0.500, 0.500, 0.000]],
  "volume_a3_per_atom": 20.95,
  "e_form_ev_per_atom": 0.169,
  "n_ef_per_ev_cell": 16.3,
  "dft_energy_ev_per_atom": -4.21,
  "space_group": "No. 122",
  "polymorph_energy_kj_per_mol_atoms": 30.0
}

=====

2.
{
  "formula": "La3Y6ErSc2",
  "functional": "PBE",
  "state": "relaxed",
  "lattice": [[3.088, -5.352, 0.000], [3.088, 5.352, 0.000], [-2.063, 0.000, 11.573]],
  "species": ["La", "La", "La", "Y", "Y", "Y", "Y", "Y", "Y", "Er", "Sc", "Sc"],
  "frac_coords": [[0.000, 0.000, 0.000], [0.333, 0.667, 0.000], [0.667, 0.333, 0.000], [0.084, 0.420, 0.261], [0.244, 0.244, 0.739], [0.420, 0.084, 0.261], [0.580, 0.916, 0.739], [0.756, 0.756, 0.261], [0.916, 0.580, 0.739], [0.500, 0.500, 0.500], [0.167, 0.833, 0.500], [0.833, 0.167, 0.500]],
  "volume_a3_per_atom": 31.87,
  "e_form_ev_per_atom": 0.047,
  "n_ef_per_ev_cell": 18.5,
  "dft_energy_ev_per_atom": -5.85,
  "space_group": "No. 12"
}

=====

3.
{
  "formula": "CaMg2Ir",
  "functional": "PBE",
  "state": "relaxed",
  "lattice": [[5.910, 0.000, 0.000], [0.000, 8.336, 0.000], [0.000, 0.000, 3.277]],
  "species": ["Ca", "Ca", "Mg", "Mg", "Mg", "Mg", "Ir", "Ir"],
  "frac_coords": [[0.000, 0.000, 0.000], [0.500, 0.500, 0.000], [0.250, 0.250, 0.500], [0.250, 0.750, 0.500], [0.750, 0.250, 0.500], [0.750, 0.750, 0.500], [0.000, 0.500, 0.000], [0.500, 0.000, 0.000]],
  "volume_a3_per_atom": 20.18,
  "e_form_ev_per_atom": 0.112,
  "n_ef_per_ev_cell": 4.8,
  "dft_energy_ev_per_atom": -3.40,
  "space_group": "No. 65"
}

=====

> Number 1 is which compound?

YCu2Ag